Compound: Tb3Tl2Hg
Source: Alexandria
Functional: PBE
Structure: optimized geometry

a = 3.7448 Å, b = 3.7448 Å, c = 11.6350 Å
α = 90.00°, β = 90.00°, γ = 90.00°
With the nearest neighbours (Å) after each atom.
Atoms (fractional coordinates):
Tb: 0.0000 0.0000 0.0000  8 Tl 3.32
Tb: 0.0000 0.0000 0.3427  4 Hg 3.22, 4 Tl 3.31
Tb: 0.0000 0.0000 0.6573  4 Hg 3.22, 4 Tl 3.31
Tl: 0.5000 0.5000 0.1724  8 Tb 3.31-3.32
Tl: 0.5000 0.5000 0.8276  8 Tb 3.31-3.32
Hg: 0.5000 0.5000 0.5000  8 Tb 3.22

- total moment (μB/f.u.) = 0.208
- VASP energy (eV for the cell shown) = -21.31
- DOS(E_F) (states/eV per atom) = 1.13


Compound: Zr3AlSi3
Source: Alexandria
Functional: PBE
Structure: optimized geometry

a = 7.8746 Å, b = 7.8746 Å, c = 5.3930 Å
α = 90.00°, β = 90.00°, γ = 120.00°
With the nearest neighbours (Å) after each atom.
Atoms (fractional coordinates):
Zr: 0.0081 0.7412 0.2500  5 Si 2.65-2.86
Zr: 0.2588 0.2669 0.2500  5 Si 2.65-2.86
Zr: 0.2669 0.0081 0.7500  5 Si 2.65-2.86
Zr: 0.7331 0.9919 0.2500  5 Si 2.65-2.86
Zr: 0.7412 0.7331 0.7500  5 Si 2.65-2.86
Zr: 0.9919 0.2588 0.7500  5 Si 2.65-2.86
Al: 0.3333 0.6667 0.7500  3 Si 2.42
Al: 0.6667 0.3333 0.2500  3 Si 2.42
Si: 0.0041 0.6166 0.7500  1 Al 2.42, 1 Zr 2.65
Si: 0.3834 0.3875 0.7500  1 Al 2.42, 1 Zr 2.65
Si: 0.3875 0.0041 0.2500  1 Al 2.42, 1 Zr 2.65
Si: 0.6125 0.9959 0.7500  1 Al 2.42, 1 Zr 2.65
Si: 0.6166 0.6125 0.2500  1 Al 2.42, 1 Zr 2.65
Si: 0.9959 0.3834 0.2500  1 Al 2.42, 1 Zr 2.65

- total moment (μB/f.u.) = 0.000
- E above lowest polymorph (meV per atom) = 170
- energy relative to the elements, uncorrected (eV per formula unit) = -1.90
- VASP energy (eV for the cell shown) = -95.11
- DOS(E_F) (states/eV per atom) = 0.57


Compound: SrLiV
Source: Alexandria
Functional: PBE
Structure: optimized geometry

a = 5.6010 Å, b = 5.6010 Å, c = 6.6005 Å
α = 90.00°, β = 90.00°, γ = 120.00°
With the nearest neighbours (Å) after each atom.
Atoms (fractional coordinates):
Sr: 0.3333 0.6667 0.2500  5 V 3.23-3.30
Sr: 0.6667 0.3333 0.7500  5 V 3.23-3.30
Li: 0.0000 0.0000 0.0000  2 Li 3.30, 6 Sr 3.63, 6 V 3.63
Li: 0.0000 0.0000 0.5000  2 Li 3.30, 6 Sr 3.63, 6 V 3.63
V: 0.3333 0.6667 0.7500  5 Sr 3.23-3.30
V: 0.6667 0.3333 0.2500  5 Sr 3.23-3.30

- total moment (μB/f.u.) = 4.617
- E above lowest polymorph (meV per atom) = 380
- VASP energy (eV for the cell shown) = -20.43
- DOS(E_F) (states/eV per atom) = 0.97